Entry 1:
DFT (PBE-GGA) results for a relaxed Al2AgF crystal.

Properties
As for the energy above the most stable polymorph in this dataset: 85 meV/atom.

a b c (Å): 6.356 6.356 6.356
angles (deg): 90.00 90.00 90.00
Space group Fm-3m (No. 225)
Unique sites:
Al  0.250  0.250  0.250
Ag  0.000  0.000  0.000
F  0.000  0.000  0.500

***

Entry 2:
DFT (PBE-GGA) results for a relaxed SbHNF2 crystal.

Properties
As for the energy above the most stable polymorph in this dataset: 28 meV/atom.

a b c (Å): 3.233 3.233 4.509
angles (deg): 90.00 90.00 90.00
Space group P4/mmm (No. 123)
Unique sites:
Sb  0.000  0.000  0.000
H  0.500  0.500  0.500
N  0.500  0.500  0.000
F  0.000  0.500  0.500

***

Entry 3:
DFT (PBE-GGA) results for a relaxed Pm2SI crystal.

Properties
As for the energy above the most stable polymorph in this dataset: 0 meV/atom.

a b c (Å): 4.1774 4.1774 22.3102
angles (deg): 90.00 90.00 120.00
Space group R-3m (No. 166, hexagonal axes)
Unique sites:
Pm  0.0000  0.0000  0.2273
S  0.0000  0.0000  0.5000
I  0.0000  0.0000  0.0000

***

Entry 4:
DFT (PBE-GGA) results for a relaxed ZnIn2As crystal.

Properties
Its formation enthalpy at 0 K is 0.24 eV per formula unit. As for the energy above the most stable polymorph in this dataset: 17 meV/atom.

a b c (Å): 3.907 4.081 11.818
angles (deg): 90.00 90.00 90.00
Space group Imm2 (No. 44)
Unique sites:
Zn  0.000  0.000  0.000
In  0.000  0.000  0.442
In  0.000  0.500  0.235
As  0.000  0.500  0.648